LaPrSm2Er4 | PBE-GGA | optimized geometry

Cell and atoms, written as POSCAR:
```
LaPrSm2Er4
1.0
11.930 -0.342 -3.223
0.119 7.189 -0.320
-8.429 -3.079 8.498
La Pr Sm Er
2 2 4 8
Direct
0.500 0.500 0.500
0.000 0.000 0.000
0.000 0.500 0.000
0.000 0.500 0.500
0.500 0.000 0.000
0.500 0.000 0.500
0.000 0.000 0.500
0.500 0.500 0.000
0.251 0.750 0.000
0.750 0.249 0.499
0.250 0.751 0.501
0.749 0.250 0.000
0.749 0.751 0.002
0.750 0.750 0.498
0.250 0.250 0.502
0.251 0.249 0.998
```

Results
* total magnetic moment: 0.00 Bohr magnetons per cell
* SG: C2/m
* formation enthalpy at 0 K: 0.017 eV per atom

***

La2PrSm6Er | PBE-GGA | optimized geometry

Cell and atoms, written as POSCAR:
```
La2PrSm6Er
1.0
9.498 -2.241 -2.325
0.725 8.633 -2.020
0.725 -2.338 8.552
La Pr Sm Er
4 2 12 2
Direct
0.458 0.805 0.708
0.042 0.292 0.195
0.542 0.195 0.292
0.958 0.708 0.805
0.250 0.987 0.013
0.750 0.013 0.987
0.056 0.120 0.737
0.444 0.263 0.880
0.944 0.880 0.263
0.556 0.737 0.120
0.311 0.982 0.423
0.189 0.577 0.018
0.689 0.018 0.577
0.811 0.423 0.982
0.120 0.701 0.492
0.380 0.508 0.299
0.880 0.299 0.508
0.620 0.492 0.701
0.250 0.406 0.594
0.750 0.594 0.406
```

Results
* total magnetic moment: 0.00 Bohr magnetons per cell
* SG: C2/c
* formation enthalpy at 0 K: 0.112 eV per atom

***

LaPrSm2Er5 | PBE-GGA | optimized geometry

Cell and atoms, written as POSCAR:
```
LaPrSm2Er5
1.0
-7.123 5.024 -0.473
-2.994 -4.866 -6.599
1.443 -4.728 8.605
La Pr Sm Er
2 2 4 10
Direct
0.250 0.250 0.500
0.750 0.750 0.500
0.250 0.750 0.500
0.750 0.250 0.500
0.117 0.383 0.000
0.617 0.117 0.000
0.383 0.883 0.000
0.883 0.617 0.000
0.927 0.427 0.269
0.659 0.159 0.731
0.073 0.573 0.731
0.159 0.073 0.731
0.573 0.659 0.731
0.841 0.927 0.269
0.427 0.341 0.269
0.341 0.841 0.269
0.500 0.500 0.000
0.000 0.000 0.000
```

Results
* total magnetic moment: 0.00 Bohr magnetons per cell
* SG: I4/mcm
* formation enthalpy at 0 K: 0.250 eV per atom

***

LaPrSm6Er2 | PBE-GGA | optimized geometry

Cell and atoms, written as POSCAR:
```
LaPrSm6Er2
1.0
9.247 -2.023 -2.099
0.868 8.658 -1.954
0.868 -2.273 8.580
La Pr Sm Er
2 2 12 4
Direct
0.250 0.406 0.594
0.750 0.594 0.406
0.250 0.965 0.035
0.750 0.035 0.965
0.058 0.109 0.758
0.442 0.242 0.891
0.942 0.891 0.242
0.558 0.758 0.109
0.321 0.982 0.438
0.179 0.562 0.018
0.679 0.018 0.562
0.821 0.438 0.982
0.118 0.705 0.483
0.382 0.517 0.295
0.882 0.295 0.517
0.618 0.483 0.705
0.450 0.802 0.704
0.050 0.296 0.198
0.550 0.198 0.296
0.950 0.704 0.802
```

Results
* total magnetic moment: 0.00 Bohr magnetons per cell
* SG: C2/c
* formation enthalpy at 0 K: 0.117 eV per atom

***

LaPrSm4Er2 | PBE-GGA | optimized geometry

Cell and atoms, written as POSCAR:
```
LaPrSm4Er2
1.0
8.531 -0.931 4.316
-0.937 8.531 4.316
-0.743 -0.743 6.793
La Pr Sm Er
2 2 8 4
Direct
0.500 0.500 0.500
0.000 0.000 0.000
0.000 0.500 0.000
0.000 0.500 0.500
0.257 0.751 0.997
0.749 0.243 0.503
0.251 0.757 0.497
0.743 0.249 0.003
0.742 0.754 0.000
0.746 0.758 0.500
0.254 0.242 0.500
0.258 0.246 0.000
0.500 0.000 0.000
0.500 0.000 0.500
0.000 0.000 0.500
0.500 0.500 0.000
```

Results
* total magnetic moment: 0.03 Bohr magnetons per cell
* SG: C2/c
* formation enthalpy at 0 K: 0.386 eV per atom

***

La4Pr2SmEr | PBE-GGA | optimized geometry

Cell and atoms, written as POSCAR:
```
La4Pr2SmEr
1.0
5.264 0.000 0.000
0.000 5.052 1.352
0.000 2.395 11.326
La Pr Sm Er
4 2 1 1
Direct
0.000 0.749 0.751
0.000 0.251 0.249
0.500 0.752 0.248
0.500 0.248 0.752
0.000 0.000 0.000
0.500 0.000 0.500
0.000 0.500 0.500
0.500 0.500 0.000
```

Results
* total magnetic moment: 0.00 Bohr magnetons per cell
* SG: P2/m
* formation enthalpy at 0 K: 0.014 eV per atom

***

LaPr2Sm5Er | PBE-GGA | optimized geometry

Cell and atoms, written as POSCAR:
```
LaPr2Sm5Er
1.0
8.877 0.000 0.000
0.000 8.877 0.000
-4.438 -4.438 7.962
La Pr Sm Er
2 4 10 2
Direct
0.250 0.250 0.500
0.750 0.750 0.500
0.118 0.382 0.000
0.618 0.118 0.000
0.382 0.882 0.000
0.882 0.618 0.000
0.929 0.429 0.276
0.652 0.152 0.724
0.071 0.571 0.724
0.152 0.071 0.724
0.571 0.652 0.724
0.848 0.929 0.276
0.429 0.348 0.276
0.348 0.848 0.276
0.500 0.500 0.000
0.000 0.000 0.000
0.250 0.750 0.500
0.750 0.250 0.500
```

Results
* total magnetic moment: 0.01 Bohr magnetons per cell
* SG: I4/mcm
* formation enthalpy at 0 K: 0.262 eV per atom

***

La3PrSmEr | PBE-GGA | optimized geometry

Cell and atoms, written as POSCAR:
```
La3PrSmEr
1.0
-0.086 -4.217 3.108
7.898 -1.333 -1.591
-2.138 6.437 8.677
La Pr Sm Er
6 2 2 2
Direct
0.250 0.627 0.458
0.750 0.871 0.043
0.750 0.379 0.206
0.750 0.373 0.542
0.250 0.621 0.794
0.250 0.129 0.957
0.750 0.879 0.709
0.250 0.121 0.291
0.250 0.126 0.625
0.750 0.874 0.375
0.250 0.625 0.124
0.750 0.375 0.876
```

Results
* total magnetic moment: 0.00 Bohr magnetons per cell
* SG: P2_1/m
* formation enthalpy at 0 K: 0.026 eV per atom

***

La2Pr2SmEr2 | PBE-GGA | optimized geometry

Cell and atoms, written as POSCAR:
```
La2Pr2SmEr2
1.0
5.163 0.000 0.000
-2.582 5.751 0.284
0.000 -1.553 8.064
La Pr Sm Er
2 2 1 2
Direct
0.142 0.284 0.427
0.858 0.716 0.573
0.715 0.429 0.142
0.285 0.571 0.858
0.000 0.000 0.000
0.571 0.141 0.714
0.429 0.859 0.286
```

Results
* total magnetic moment: 0.00 Bohr magnetons per cell
* SG: C2/m
* formation enthalpy at 0 K: 0.023 eV per atom

***

LaPrErSn | PBE-GGA | optimized geometry

Cell and atoms, written as POSCAR:
```
LaPrErSn
1.0
5.585 0.000 0.000
2.793 4.837 0.000
2.793 1.612 4.560
Pr La Sn Er
1 1 1 1
Direct
0.000 0.000 0.000
0.500 0.500 0.500
0.250 0.250 0.250
0.750 0.750 0.750
```

Results
* total magnetic moment: 0.00 Bohr magnetons per cell
* SG: F-43m
* formation enthalpy at 0 K: -0.268 eV per atom

***

La2TbPr3Er6 | PBE-GGA | optimized geometry

Cell and atoms, written as POSCAR:
```
La2TbPr3Er6
1.0
-3.348 -1.443 -5.090
-0.724 -3.311 5.264
-7.022 8.881 3.381
La Tb Pr Er
2 1 3 6
Direct
0.334 0.666 0.000
0.666 0.334 0.000
0.000 0.000 0.000
0.167 0.833 0.500
0.833 0.167 0.500
0.500 0.500 0.500
0.916 0.584 0.750
0.751 0.751 0.250
0.084 0.416 0.250
0.584 0.916 0.750
0.249 0.249 0.750
0.416 0.084 0.250
```

Results
* total magnetic moment: 0.00 Bohr magnetons per cell
* SG: C2/m
* formation enthalpy at 0 K: 0.016 eV per atom

***

LaTb4Pr2Er | PBE-GGA | optimized geometry

Cell and atoms, written as POSCAR:
```
LaTb4Pr2Er
1.0
5.140 0.000 0.000
0.000 4.954 1.280
0.000 2.409 11.144
La Tb Pr Er
1 4 2 1
Direct
0.500 0.500 0.000
0.000 0.754 0.746
0.000 0.246 0.254
0.500 0.746 0.254
0.500 0.254 0.746
0.000 0.000 0.000
0.500 0.000 0.500
0.000 0.500 0.500
```

Results
* total magnetic moment: 0.00 Bohr magnetons per cell
* SG: Pmmm
* formation enthalpy at 0 K: 0.022 eV per atom

***

LaTb2Pr5Er | PBE-GGA | optimized geometry

Cell and atoms, written as POSCAR:
```
LaTb2Pr5Er
1.0
-6.214 0.253 7.197
-0.136 -9.508 0.217
8.569 4.657 0.950
La Tb Pr Er
2 4 10 2
Direct
0.250 0.250 0.500
0.750 0.750 0.500
0.109 0.391 0.000
0.609 0.109 0.000
0.391 0.891 0.000
0.891 0.609 0.000
0.929 0.429 0.264
0.665 0.165 0.736
0.071 0.571 0.736
0.165 0.071 0.736
0.571 0.665 0.736
0.835 0.929 0.264
0.429 0.335 0.264
0.335 0.835 0.264
0.500 0.500 0.000
0.000 0.000 0.000
0.250 0.750 0.500
0.750 0.250 0.500
```

Results
* total magnetic moment: 0.00 Bohr magnetons per cell
* SG: I4/mcm
* formation enthalpy at 0 K: 0.280 eV per atom

***

La3Tb6PrEr2 | PBE-GGA | optimized geometry

Cell and atoms, written as POSCAR:
```
La3Tb6PrEr2
1.0
6.257 -0.002 0.010
-3.129 5.419 0.010
-1.062 -1.839 11.768
La Tb Pr Er
3 6 1 2
Direct
0.167 0.833 0.500
0.833 0.167 0.500
0.500 0.500 0.500
0.918 0.584 0.755
0.747 0.747 0.245
0.082 0.416 0.245
0.584 0.918 0.755
0.253 0.253 0.755
0.416 0.082 0.245
0.000 0.000 0.000
0.333 0.667 0.000
0.667 0.333 0.000
```

Results
* total magnetic moment: 0.00 Bohr magnetons per cell
* SG: C2/m
* formation enthalpy at 0 K: 0.020 eV per atom

***

La2TbPrEr | PBE-GGA | optimized geometry

Cell and atoms, written as POSCAR:
```
La2TbPrEr
1.0
-5.713 1.598 2.757
0.395 -5.265 3.869
3.856 7.174 3.832
La Tb Pr Er
4 2 2 2
Direct
0.500 0.249 0.000
0.000 0.751 0.000
0.500 0.751 0.000
0.000 0.249 0.000
0.250 0.843 0.686
0.750 0.157 0.314
0.250 0.660 0.319
0.750 0.340 0.681
0.750 0.752 0.504
0.250 0.248 0.496
```

Results
* total magnetic moment: 0.00 Bohr magnetons per cell
* SG: Cmcm
* formation enthalpy at 0 K: 0.352 eV per atom

***

LaTbPr2Er | PBE-GGA | optimized geometry

Cell and atoms, written as POSCAR:
```
LaTbPr2Er
1.0
6.561 0.000 0.000
0.000 8.579 0.979
0.000 -1.509 6.162
La Tb Pr Er
2 2 4 2
Direct
0.000 0.000 0.000
0.000 0.000 0.500
0.560 0.000 0.250
0.440 0.000 0.750
0.690 0.688 0.791
0.690 0.312 0.709
0.310 0.688 0.291
0.310 0.312 0.209
0.166 0.500 0.750
0.834 0.500 0.250
```

Results
* total magnetic moment: 0.00 Bohr magnetons per cell
* SG: P2/c
* formation enthalpy at 0 K: 0.272 eV per atom

***

LaTb2Pr2Er | PBE-GGA | optimized geometry

Cell and atoms, written as POSCAR:
```
LaTb2Pr2Er
1.0
5.758 0.000 0.000
0.000 7.098 0.000
0.000 0.000 9.976
La Tb Pr Er
2 4 4 2
Direct
0.000 0.007 0.500
0.000 0.507 0.500
0.000 0.258 0.834
0.500 0.257 0.332
0.000 0.758 0.166
0.500 0.757 0.668
0.500 0.008 0.000
0.000 0.258 0.169
0.500 0.508 0.000
0.000 0.758 0.831
0.500 0.257 0.665
0.500 0.757 0.335
```

Results
* total magnetic moment: 0.00 Bohr magnetons per cell
* SG: Pmc2_1
* formation enthalpy at 0 K: 0.063 eV per atom

***

La2TbPr5Er | PBE-GGA | optimized geometry

Cell and atoms, written as POSCAR:
```
La2TbPr5Er
1.0
8.662 0.000 0.000
0.000 8.662 0.000
-4.331 -4.331 8.550
La Tb Pr Er
4 2 10 2
Direct
0.123 0.377 0.000
0.623 0.123 0.000
0.377 0.877 0.000
0.877 0.623 0.000
0.250 0.250 0.500
0.750 0.750 0.500
0.922 0.422 0.290
0.632 0.132 0.710
0.078 0.578 0.710
0.132 0.078 0.710
0.578 0.632 0.710
0.868 0.922 0.290
0.422 0.368 0.290
0.368 0.868 0.290
0.500 0.500 0.000
0.000 0.000 0.000
0.250 0.750 0.500
0.750 0.250 0.500
```

Results
* total magnetic moment: 0.00 Bohr magnetons per cell
* SG: I4/mcm
* formation enthalpy at 0 K: 0.245 eV per atom

***

La2TbPrEr2 | PBE-GGA | optimized geometry

Cell and atoms, written as POSCAR:
```
La2TbPrEr2
1.0
5.665 0.000 0.000
0.000 6.954 0.000
0.000 0.000 10.367
La Tb Pr Er
4 2 2 4
Direct
0.500 0.057 0.025
0.000 0.322 0.201
0.500 0.557 0.975
0.000 0.822 0.799
0.000 0.954 0.473
0.000 0.454 0.527
0.500 0.196 0.691
0.500 0.696 0.309
0.000 0.313 0.868
0.500 0.203 0.374
0.000 0.813 0.132
0.500 0.703 0.626
```

Results
* total magnetic moment: 0.00 Bohr magnetons per cell
* SG: Pmc2_1
* formation enthalpy at 0 K: 0.070 eV per atom

***

LaTb2Pr4Er2 | PBE-GGA | optimized geometry

Cell and atoms, written as POSCAR:
```
LaTb2Pr4Er2
1.0
5.144 0.000 0.000
-2.572 7.720 -0.023
0.000 -2.509 7.730
La Tb Pr Er
1 2 4 2
Direct
0.000 0.000 0.000
0.888 0.777 0.332
0.112 0.223 0.668
0.777 0.554 0.670
0.223 0.446 0.330
0.554 0.109 0.332
0.446 0.891 0.668
0.331 0.662 0.002
0.669 0.338 0.998
```

Results
* total magnetic moment: 0.00 Bohr magnetons per cell
* SG: C2/m
* formation enthalpy at 0 K: 0.022 eV per atom